No. 1
A plane-wave DFT calculation with PBE was carried out for a relaxed Pd3Se2Cl2O6 crystal.

Cell: 5.5531 5.5531 7.6287 Å, 109.10 109.10 70.22°
With the nearest neighbours (Å) after each atom.
Fractional coordinates of all 13 atoms:
1 Cl 0.7226 0.7226 0.1289  1 Pd 2.26
2 Cl 0.2774 0.2774 0.8711  1 Pd 2.26
3 O 0.8871 0.2593 0.3190  1 Se 1.79
4 O 0.2593 0.8871 0.3190  1 Se 1.79
5 O 0.3561 0.3561 0.3643  1 Se 1.70
6 O 0.6439 0.6439 0.6357  1 Se 1.70
7 O 0.7407 0.1129 0.6810  1 Se 1.79
8 O 0.1129 0.7407 0.6810  1 Se 1.79
9 Pd 0.5570 0.5570 0.2850  3 O 2.02-2.14, 1 Cl 2.26
10 Pd 0.0000 0.0000 0.5000  4 O 2.12
11 Pd 0.4430 0.4430 0.7150  3 O 2.02-2.14, 1 Cl 2.26
12 Se 0.1588 0.1588 0.2109  3 O 1.70-1.79
13 Se 0.8412 0.8412 0.7891  3 O 1.70-1.79

Computed properties:
space group	C2/m


No. 2
A plane-wave DFT calculation with PBE was carried out for a relaxed Sr2PdCl2O2 crystal.

Cell: 8.3714 8.3714 8.3714 Å, 151.72 151.72 40.42°
With the nearest neighbours (Å) after each atom.
Fractional coordinates of all 7 atoms:
1 Cl 0.1896 0.1896 0.0000  1 Pd 2.98, 5 Sr 3.13-3.15
2 Cl 0.8104 0.8104 0.0000  1 Pd 2.98, 5 Sr 3.13-3.15
3 O 0.5000 0.0000 0.5000  2 Pd 2.05
4 O 0.0000 0.5000 0.5000  2 Pd 2.05
5 Pd 0.0000 0.0000 0.0000  4 O 2.05
6 Sr 0.3891 0.3891 0.0000  4 O 2.69
7 Sr 0.6109 0.6109 0.0000  4 O 2.69

Computed properties:
space group	I4/mmm


No. 3
A plane-wave DFT calculation with PBE was carried out for a relaxed Pm2Cl3O crystal.

Cell: 8.1537 8.1537 10.5238 Å, 118.01 118.01 28.69°
With the nearest neighbours (Å) after each atom.
Fractional coordinates of all 12 atoms:
1 Cl 0.6631 0.6631 0.0104  3 Pm 2.85-2.96, 1 O 3.17
2 Cl 0.0480 0.0480 0.2359  3 Pm 2.78-2.87
3 Cl 0.7700 0.7700 0.3843  3 Pm 2.86-2.90
4 Cl 0.2300 0.2300 0.6157  3 Pm 2.86-2.90
5 Cl 0.9520 0.9520 0.7641  3 Pm 2.78-2.87
6 Cl 0.3369 0.3369 0.9896  3 Pm 2.85-2.96, 1 O 3.17
7 O 0.4168 0.4168 0.3299  4 Pm 2.30-2.35
8 O 0.5832 0.5832 0.6701  4 Pm 2.30-2.35
9 Pm 0.8649 0.8649 0.2119  2 O 2.30
10 Pm 0.5866 0.5866 0.4509  2 O 2.33-2.35
11 Pm 0.4134 0.4134 0.5491  2 O 2.33-2.35
12 Pm 0.1351 0.1351 0.7881  2 O 2.30

Computed properties:
space group	C2/m


No. 4
A plane-wave DFT calculation with PBE was carried out for a relaxed Pr3ClO4 crystal.

Cell: 4.0175 4.0175 9.1208 Å, 90.00 90.00 90.00°
With the nearest neighbours (Å) after each atom.
Fractional coordinates of all 8 atoms:
1 Cl 0.0000 0.0000 0.5000  8 Pr 3.51, 8 O 3.69
2 O 0.5000 0.0000 0.1603  4 Pr 2.26-2.48
3 O 0.0000 0.5000 0.1603  4 Pr 2.26-2.48
4 O 0.5000 0.0000 0.8397  4 Pr 2.26-2.48
5 O 0.0000 0.5000 0.8397  4 Pr 2.26-2.48
6 Pr 0.0000 0.0000 0.0000  8 O 2.48
7 Pr 0.5000 0.5000 0.2747  4 O 2.26
8 Pr 0.5000 0.5000 0.7253  4 O 2.26

Computed properties:
space group	P4/mmm


No. 5
A plane-wave DFT calculation with PBE was carried out for a relaxed PrCl2O crystal.

Cell: 6.6060 6.6060 8.6227 Å, 109.59 109.59 39.60°
With the nearest neighbours (Å) after each atom.
Fractional coordinates of all 8 atoms:
1 Cl 0.1551 0.1551 0.0798  2 Pr 2.80-2.81
2 Cl 0.8413 0.8413 0.4175  2 Pr 2.84
3 Cl 0.1587 0.1587 0.5825  2 Pr 2.84
4 Cl 0.8449 0.8449 0.9202  2 Pr 2.80-2.81
5 O 0.4980 0.4980 0.2909  2 Pr 2.27
6 O 0.5020 0.5020 0.7091  2 Pr 2.27
7 Pr 0.0009 0.0009 0.2499  2 O 2.27
8 Pr 0.9991 0.9991 0.7500  2 O 2.27

Computed properties:
space group	C2/m


No. 6
A plane-wave DFT calculation with PBE was carried out for a relaxed Pr2Cl3O crystal.

Cell: 8.2172 8.2172 10.6289 Å, 117.43 117.43 29.04°
With the nearest neighbours (Å) after each atom.
Fractional coordinates of all 12 atoms:
1 Cl 0.6628 0.6628 0.0103  3 Pr 2.89-3.00, 1 O 3.21
2 Cl 0.0493 0.0493 0.2352  3 Pr 2.82-2.91
3 Cl 0.7689 0.7689 0.3843  3 Pr 2.90-2.95
4 Cl 0.2311 0.2311 0.6157  3 Pr 2.90-2.95
5 Cl 0.9507 0.9507 0.7648  3 Pr 2.82-2.91
6 Cl 0.3372 0.3372 0.9897  3 Pr 2.89-3.00, 1 O 3.21
7 O 0.4169 0.4169 0.3297  4 Pr 2.35-2.39
8 O 0.5831 0.5831 0.6703  4 Pr 2.35-2.39
9 Pr 0.8649 0.8649 0.2110  2 O 2.35
10 Pr 0.5881 0.5881 0.4499  2 O 2.38-2.39
11 Pr 0.4119 0.4119 0.5501  2 O 2.38-2.39
12 Pr 0.1351 0.1351 0.7890  2 O 2.35

Computed properties:
space group	C2/m


Number 1: volume 202.90 Å³/cell, electronic total energy -4.71 eV/atom. Number 2: volume 131.42 Å³/cell, electronic total energy -5.10 eV/atom. Number 3: volume 293.78 Å³/cell, electronic total energy -5.90 eV/atom. Number 4: volume 147.22 Å³/cell, electronic total energy -7.59 eV/atom. Number 5: volume 224.11 Å³/cell, electronic total energy -5.18 eV/atom. Number 6: volume 306.39 Å³/cell, electronic total energy -5.89 eV/atom.